# BaCuAgSb2 PBE relaxed
# - symmetry = No. 119
# - spin magnetization (μB/atom) = 0.000
data_BaCuAgSb2
_chemical_formula_sum 'Ba1 Cu1 Ag1 Sb2'
_cell_length_a 4.766
_cell_length_b 4.766
_cell_length_c 6.776
_cell_angle_alpha 110.59
_cell_angle_beta 110.59
_cell_angle_gamma 90.00
_space_group_name_H-M_alt 'P 1'
_space_group_IT_number 1
loop_
_space_group_symop_operation_xyz
'x,y,z'
loop_
_atom_site_label
_atom_site_fract_x
_atom_site_fract_y
_atom_site_fract_z
_atom_site_occupancy
Ba1 0.000 0.000 0.000 1
Sb1 0.371 0.371 0.742 1
Sb2 0.629 0.629 0.258 1
Cu1 0.750 0.250 0.500 1
Ag1 0.250 0.750 0.500 1

# TbSm3Tm5 PBE relaxed
# - symmetry = No. 15
# - formation energy (kcal/mol of atoms) = 3.8
# - energy relative to the lowest polymorph listed for this composition (eV per formula unit) = 0.00
# - spin magnetization (μB/atom) = 0.000
data_TbSm3Tm5
_chemical_formula_sum 'Tb2 Sm6 Tm10'
_cell_length_a 6.672
_cell_length_b 8.833
_cell_length_c 11.258
_cell_angle_alpha 107.68
_cell_angle_beta 90.00
_cell_angle_gamma 112.19
_space_group_name_H-M_alt 'P 1'
_space_group_IT_number 1
loop_
_space_group_symop_operation_xyz
'x,y,z'
loop_
_atom_site_label
_atom_site_fract_x
_atom_site_fract_y
_atom_site_fract_z
_atom_site_occupancy
Sm1 0.000 0.000 0.500 1
Sm2 0.865 0.474 0.853 1
Sm3 0.609 0.474 0.353 1
Sm4 0.135 0.526 0.147 1
Sm5 0.391 0.526 0.647 1
Sm6 0.000 0.000 0.000 1
Tb1 0.773 0.000 0.750 1
Tb2 0.227 0.000 0.250 1
Tm1 0.389 0.786 0.955 1
Tm2 0.319 0.000 0.750 1
Tm3 0.700 0.647 0.124 1
Tm4 0.300 0.353 0.876 1
Tm5 0.602 0.214 0.545 1
Tm6 0.611 0.214 0.045 1
Tm7 0.398 0.786 0.455 1
Tm8 0.053 0.353 0.376 1
Tm9 0.947 0.647 0.624 1
Tm10 0.681 0.000 0.250 1

# La2MgAl3Ga4 PBE relaxed
# - symmetry = No. 115
# - formation energy (kcal/mol of atoms) = -10.8
# - spin magnetization (μB/atom) = 0.000
data_La2MgAl3Ga4
_chemical_formula_sum 'La2 Mg1 Al3 Ga4'
_cell_length_a 4.431
_cell_length_b 4.431
_cell_length_c 10.861
_cell_angle_alpha 90.00
_cell_angle_beta 90.00
_cell_angle_gamma 90.00
_space_group_name_H-M_alt 'P 1'
_space_group_IT_number 1
loop_
_space_group_symop_operation_xyz
'x,y,z'
loop_
_atom_site_label
_atom_site_fract_x
_atom_site_fract_y
_atom_site_fract_z
_atom_site_occupancy
La1 0.000 0.500 0.761 1
La2 0.500 0.000 0.239 1
Ga1 0.500 0.000 0.641 1
Ga2 0.500 0.500 0.000 1
Ga3 0.000 0.500 0.359 1
Ga4 0.000 0.000 0.000 1
Al1 0.000 0.000 0.500 1
Al2 0.000 0.500 0.128 1
Al3 0.500 0.000 0.872 1
Mg1 0.500 0.500 0.500 1

# La2Pr3Dy8 PBE relaxed
# - symmetry = No. 65
# - formation energy (kcal/mol of atoms) = 5.8
# - energy relative to the lowest polymorph listed for this composition (eV per formula unit) = 2.95
# - spin magnetization (μB/atom) = 0.000
data_La2Pr3Dy8
_chemical_formula_sum 'La2 Pr3 Dy8'
_cell_length_a 5.625
_cell_length_b 7.734
_cell_length_c 11.193
_cell_angle_alpha 110.24
_cell_angle_beta 90.01
_cell_angle_gamma 90.00
_space_group_name_H-M_alt 'P 1'
_space_group_IT_number 1
loop_
_space_group_symop_operation_xyz
'x,y,z'
loop_
_atom_site_label
_atom_site_fract_x
_atom_site_fract_y
_atom_site_fract_z
_atom_site_occupancy
La1 0.500 0.758 0.517 1
La2 0.500 0.242 0.483 1
Dy1 0.500 0.182 0.786 1
Dy2 0.000 0.129 0.257 1
Dy3 0.000 0.871 0.743 1
Dy4 0.000 0.338 0.676 1
Dy5 0.500 0.396 0.214 1
Dy6 0.500 0.604 0.786 1
Dy7 0.500 0.818 0.214 1
Dy8 0.000 0.662 0.324 1
Pr1 0.000 0.295 0.000 1
Pr2 0.000 0.705 0.000 1
Pr3 0.500 0.000 0.000 1

# YCoMo2W PBE relaxed
# - symmetry = No. 123
# - formation energy (kcal/mol of atoms) = 42.1
# - spin magnetization (μB/atom) = 0.015
data_YCoMo2W
_chemical_formula_sum 'Y1 Co1 Mo2 W1'
_cell_length_a 4.703
_cell_length_b 5.352
_cell_length_c 4.703
_cell_angle_alpha 90.00
_cell_angle_beta 90.00
_cell_angle_gamma 90.00
_space_group_name_H-M_alt 'P 1'
_space_group_IT_number 1
loop_
_space_group_symop_operation_xyz
'x,y,z'
loop_
_atom_site_label
_atom_site_fract_x
_atom_site_fract_y
_atom_site_fract_z
_atom_site_occupancy
Co1 0.500 0.500 0.500 1
Y1 0.000 0.500 0.000 1
Mo1 0.500 0.000 0.000 1
Mo2 0.000 0.000 0.500 1
W1 0.000 0.000 0.000 1

# SiBi2O5 PBE relaxed
# - symmetry = No. 62
# - energy relative to the lowest polymorph listed for this composition (eV per formula unit) = 0.63
# - spin magnetization (μB/atom) = 0.000
data_SiBi2O5
_chemical_formula_sum 'Si4 Bi8 O20'
_cell_length_a 3.909
_cell_length_b 10.929
_cell_length_c 11.115
_cell_angle_alpha 90.00
_cell_angle_beta 90.00
_cell_angle_gamma 90.00
_space_group_name_H-M_alt 'P 1'
_space_group_IT_number 1
loop_
_space_group_symop_operation_xyz
'x,y,z'
loop_
_atom_site_label
_atom_site_fract_x
_atom_site_fract_y
_atom_site_fract_z
_atom_site_occupancy
Si1 0.750 0.787 0.850 1
Si2 0.250 0.213 0.150 1
Si3 0.750 0.287 0.650 1
Si4 0.250 0.713 0.350 1
O1 0.250 0.570 0.307 1
O2 0.750 0.430 0.693 1
O3 0.250 0.246 0.002 1
O4 0.250 0.259 0.642 1
O5 0.250 0.816 0.238 1
O6 0.250 0.316 0.262 1
O7 0.250 0.000 0.600 1
O8 0.750 0.930 0.807 1
O9 0.750 0.000 0.400 1
O10 0.750 0.500 0.100 1
O11 0.750 0.241 0.142 1
O12 0.750 0.684 0.738 1
O13 0.250 0.070 0.193 1
O14 0.250 0.500 0.900 1
O15 0.750 0.754 0.998 1
O16 0.750 0.254 0.502 1
O17 0.250 0.759 0.858 1
O18 0.750 0.184 0.762 1
O19 0.250 0.746 0.498 1
O20 0.750 0.741 0.358 1
Bi1 0.250 0.567 0.717 1
Bi2 0.750 0.353 0.960 1
Bi3 0.250 0.647 0.040 1
Bi4 0.750 0.433 0.283 1
Bi5 0.250 0.067 0.783 1
Bi6 0.250 0.147 0.460 1
Bi7 0.750 0.933 0.217 1
Bi8 0.750 0.853 0.540 1

# Na2TcAgF8 PBE relaxed
# - symmetry = No. 10
# - spin magnetization (μB/atom) = 0.166
data_Na2TcAgF8
_chemical_formula_sum 'Na2 Tc1 Ag1 F8'
_cell_length_a 5.012
_cell_length_b 5.087
_cell_length_c 7.232
_cell_angle_alpha 90.00
_cell_angle_beta 90.00
_cell_angle_gamma 93.04
_space_group_name_H-M_alt 'P 1'
_space_group_IT_number 1
loop_
_space_group_symop_operation_xyz
'x,y,z'
loop_
_atom_site_label
_atom_site_fract_x
_atom_site_fract_y
_atom_site_fract_z
_atom_site_occupancy
F1 0.295 0.296 0.500 1
F2 0.282 0.281 0.000 1
F3 0.181 0.821 0.197 1
F4 0.819 0.179 0.803 1
F5 0.181 0.821 0.803 1
F6 0.819 0.179 0.197 1
F7 0.705 0.704 0.500 1
F8 0.718 0.719 0.000 1
Tc1 0.000 0.000 0.000 1
Ag1 0.000 0.000 0.500 1
Na1 0.500 0.500 0.256 1
Na2 0.500 0.500 0.744 1

# LaCu2Re PBE relaxed
# - symmetry = No. 225
# - formation energy (kcal/mol of atoms) = 11.9
# - energy relative to the lowest polymorph listed for this composition (eV per formula unit) = 0.58
# - spin magnetization (μB/atom) = 0.335
data_LaCu2Re
_chemical_formula_sum 'La1 Cu2 Re1'
_cell_length_a 4.684
_cell_length_b 4.684
_cell_length_c 4.684
_cell_angle_alpha 60.00
_cell_angle_beta 60.00
_cell_angle_gamma 60.00
_space_group_name_H-M_alt 'P 1'
_space_group_IT_number 1
loop_
_space_group_symop_operation_xyz
'x,y,z'
loop_
_atom_site_label
_atom_site_fract_x
_atom_site_fract_y
_atom_site_fract_z
_atom_site_occupancy
Cu1 0.750 0.750 0.750 1
Cu2 0.250 0.250 0.250 1
Re1 0.500 0.500 0.500 1
La1 0.000 0.000 0.000 1

Uncorrected energy per entry: -19.22; -39.66; -39.45; -57.74; -39.06; -52.11; -56.80; -23.51 eV/f.u.